A plane-wave DFT calculation with PBE+U was carried out for a geometry-optimized KFe3Se4O12 structure.

Computed properties:
Symmetry = R32 (155)
DOS at the Fermi energy = 4.1 states/eV/f.u.
Calculated total energy = -5.38 eV per atom
M_tot = 0.74 μB per atom

Cell and atoms, written as POSCAR:
```
KFe3Se4O12
1.0
-1.360 6.343 1.791
-4.842 -3.601 2.979
5.542 -1.522 3.502
K Fe Se O
1 3 4 12
direct
0.000 0.000 0.000 K
0.573 0.427 0.000 Fe
0.427 0.000 0.573 Fe
0.000 0.573 0.427 Fe
0.903 0.097 0.500 Se
0.097 0.500 0.903 Se
0.500 0.903 0.097 Se
0.500 0.500 0.500 Se
0.500 0.314 0.686 O
0.932 0.500 0.068 O
0.068 0.932 0.500 O
0.500 0.068 0.932 O
0.392 0.058 0.293 O
0.293 0.392 0.058 O
0.058 0.293 0.392 O
0.608 0.707 0.942 O
0.942 0.608 0.707 O
0.707 0.942 0.608 O
0.686 0.500 0.314 O
0.314 0.686 0.500 O
```